VASP calculation (PBE-GGA) on NaBeH after structural relaxation.

Cell: 3.0038 4.0139 8.0157 Å, 91.89 90.97 111.97°
Positions (direct):
Na  0.1426  0.7557  0.8176
Na  0.8574  0.2443  0.1824
Be  0.6408  0.7823  0.4958
Be  0.3592  0.2177  0.5042
H  0.5152  0.5180  0.6311
H  0.4848  0.4820  0.3689

## Properties
E above lowest polymorph in meV per atom: 47

VASP calculation (PBE-GGA) on In2SnAu after structural relaxation.

Cell: 4.5162 4.5162 6.5052 Å, 69.69 69.69 60.00°
Positions (direct):
Au  0.6653  0.6653  0.0040
In  0.2666  0.2666  0.2001
In  0.0689  0.0689  0.7933
Sn  0.4991  0.4991  0.5026

VASP calculation (PBE-GGA) on La3Cd2 after structural relaxation.

Cell: 3.9301 3.9301 10.5917 Å, 100.69 100.69 90.00°
Each line ends with the local moment (μB).
Positions (direct):
Cd  0.5986  0.5986  0.1972  0.00
Cd  0.4014  0.4014  0.8028  0.00
La  0.0000  0.0000  0.0000  0.13
La  0.8092  0.8092  0.6184  0.06
La  0.1908  0.1908  0.3816  0.06

## Properties
E above lowest polymorph in meV per atom: 2

VASP calculation (PBE-GGA) on Fe2CuW after structural relaxation.

Cell: 4.1003 4.1003 4.1003 Å, 60.00 60.00 60.00°
Each line ends with the local moment (μB).
Positions (direct):
Fe  0.7500  0.7500  0.7500  0.57
Fe  0.2500  0.2500  0.2500  0.57
W  0.5000  0.5000  0.5000  -0.23
Cu  0.0000  0.0000  0.0000  0.05

## Properties
E above lowest polymorph in meV per atom: 21

VASP calculation (PBE-GGA) on ZrU2P3 after structural relaxation.

Cell: 3.8764 3.8764 8.6092 Å, 103.01 103.01 90.00°
Each line ends with the local moment (μB).
Positions (direct):
Zr  0.4341  0.4359  0.8740  0.07
U  0.7685  0.7698  0.5425  1.80
U  0.1000  0.1013  0.2054  1.80
P  0.5975  0.5988  0.2004  -0.06
P  0.9341  0.9359  0.8740  -0.03
P  0.2711  0.2724  0.5476  -0.06

VASP calculation (PBE-GGA) on LiLaPuAl after structural relaxation.

Cell: 5.2772 5.2772 5.2772 Å, 60.00 60.00 60.00°
Each line ends with the local moment (μB).
Positions (direct):
Al  0.5000  0.5000  0.5000  -0.03
Li  0.0000  0.0000  0.0000  0.05
Pu  0.7500  0.7500  0.7500  5.53
La  0.2500  0.2500  0.2500  0.18

Values for V, Å³/atom, ordered as above
14.9, 26.3, 31.6, 12.2, 20.4, 26.0
Values for total DFT energy (no corrections), eV per cell, ordered as above
-16.2, -13.0, -17.9, -33.2, -54.0, -24.8